Record 1
6
Lattice="5.361 0.000 0.000 0.000 4.508 0.000 0.000 2.254 11.323" Properties=species:S:1:pos:R:3 comment="ThBiSe, optimized geometry, DFT GGA-PBE" raw_formation_energy_mev_per_atom=-688 magnetic_moment_mub_per_fu=0.0 sg=Cmcm pbc="T T T"
Se 4.021 4.508 1.776
Se 1.340 2.254 9.547
Bi 4.021 4.508 5.898
Bi 1.340 2.254 5.425
Th 1.340 4.508 7.912
Th 4.021 2.254 3.411

***

Record 2
8
Lattice="-0.268 2.165 -4.512 -4.430 1.996 1.226 1.743 9.213 1.535" Properties=species:S:1:pos:R:3 comment="Er6CdAg, optimized geometry, DFT GGA-PBE" e_form_ev_per_atom=-0.138 magnetic_moment_mub_per_fu=0.0 sg=I4/mmm pbc="T T T"
Ag 0.000 0.000 0.000
Er -1.385 8.620 1.439
Er -1.570 4.755 -3.190
Er 0.696 8.704 -1.430
Er -0.312 5.631 -0.061
Er -2.643 7.743 -1.690
Er -3.651 4.670 -0.321
Cd -2.349 2.081 -1.643

***

Record 3
8
Lattice="-5.029 3.780 -0.310 -0.736 -0.468 6.238 0.675 6.453 3.743" Properties=species:S:1:pos:R:3 comment="ZrInAs2, optimized geometry, DFT GGA-PBE" e_form_ev_per_atom=-0.255 magnetic_moment_mub_per_fu=0.0 sg=I-42d pbc="T T T"
As -0.994 1.849 4.791
As -1.666 6.075 5.123
As -2.992 3.861 1.527
As -4.527 7.744 7.903
Zr -2.882 1.656 2.964
Zr -1.471 3.820 6.473
In -3.618 5.944 3.199
In 0.000 0.000 0.000

***

Record 4
5
Lattice="-1.780 -1.245 -7.182 -6.371 -3.324 2.155 -2.762 5.157 -0.210" Properties=species:S:1:pos:R:3 comment="Cs2KTlHg, optimized geometry, DFT GGA-PBE" e_form_ev_per_atom=-0.017 e_above_lowest_polymorph_ev_per_atom=0.000 magnetic_moment_mub_per_fu=0.0 sg=P4/mmm pbc="T T T"
Hg 0.000 0.000 0.000
Cs -3.186 -1.662 1.078
Cs -0.890 -0.623 -3.591
Tl -1.381 2.579 -0.105
K -5.457 0.294 -2.618